[1]
Computed, not measured: a relaxed structure of NdErPb2 at the GGA-PBE level of DFT.

Values from the calculation:
The calculation puts the magnetization at 0.0 Bohr magnetons per cell. The density of states at the Fermi level comes out at 3.48 states/eV per cell. As for the symmetry: R3m (160). The calculation puts the volume at 33.81 Å³ per atom. Its uncorrected energy is -4.52 eV/atom.

Unit cell a=4.796 b=4.796 c=7.332 alpha=70.91 beta=70.91 gamma=60.00
Fractional positions:
Pb 0.246 0.246 0.261
Pb 0.088 0.088 0.735
Er 0.494 0.494 0.518
Nd 0.671 0.671 0.986



[2]
Computed, not measured: a relaxed structure of Nd2ErPb at the GGA-PBE level of DFT.

Values from the calculation:
The calculation puts the magnetization at 0.2 Bohr magnetons per cell. The density of states at the Fermi level comes out at 4.65 states/eV per cell. As for the symmetry: R3m (160). The calculation puts the volume at 32.60 Å³ per atom. The calculation puts the energy above the lowest structure with this stoichiometry at 161 meV/atom.

Unit cell a=3.660 b=3.660 c=11.439 alpha=80.79 beta=80.79 gamma=60.00
Fractional positions:
Pb 0.666 0.666 0.001
Nd 0.252 0.252 0.244
Nd 0.082 0.082 0.755
Er 0.500 0.500 0.500



[3]
Computed, not measured: a relaxed structure of NdErPb2 at the GGA-PBE level of DFT.

Values from the calculation:
The calculation puts the magnetization at 0.0 Bohr magnetons per cell. The density of states at the Fermi level comes out at 3.45 states/eV per cell. As for the symmetry: P4/mmm (123). The calculation puts the volume at 28.90 Å³ per atom. Its uncorrected energy is -4.64 eV/atom.

Unit cell a=3.572 b=3.572 c=9.059 alpha=90.00 beta=90.00 gamma=90.00
Fractional positions:
Pb 0.000 0.000 0.760
Pb 0.000 0.000 0.240
Er 0.500 0.500 0.000
Nd 0.500 0.500 0.500



[4]
Computed, not measured: a relaxed structure of NdEr2Pb at the GGA-PBE level of DFT.

Values from the calculation:
The calculation puts the magnetization at 0.0 Bohr magnetons per cell. The density of states at the Fermi level comes out at 4.35 states/eV per cell. As for the symmetry: R-3m (166). The calculation puts the volume at 32.73 Å³ per atom. The calculation puts the energy above the lowest structure with this stoichiometry at 365 meV/atom.

Unit cell a=3.544 b=3.544 c=12.208 alpha=81.65 beta=81.65 gamma=60.00
Fractional positions:
Pb 0.000 0.000 0.000
Er 0.913 0.913 0.262
Er 0.087 0.087 0.738
Nd 0.500 0.500 0.500



[5]
Computed, not measured: a relaxed structure of Nd5ErPb6 at the GGA-PBE level of DFT.

Values from the calculation:
The calculation puts the magnetization at 0.0 Bohr magnetons per cell. The density of states at the Fermi level comes out at 8.53 states/eV per cell. As for the symmetry: C2/m (12). The calculation puts the volume at 31.41 Å³ per atom. Its uncorrected energy is -4.70 eV/atom.

Unit cell a=9.539 b=5.974 c=7.929 alpha=67.87 beta=80.58 gamma=64.26
Fractional positions:
Nd 0.500 0.500 0.000
Nd 0.500 0.829 0.342
Nd 0.000 0.338 0.324
Nd 0.000 0.662 0.676
Nd 0.500 0.171 0.658
Pb 0.244 0.924 0.672
Pb 0.244 0.596 0.328
Pb 0.756 0.404 0.672
Pb 0.746 0.779 0.000
Pb 0.254 0.221 0.000
Pb 0.756 0.076 0.328
Er 0.000 0.000 0.000



[6]
Computed, not measured: a relaxed structure of Nd4ErPb2 at the GGA-PBE level of DFT.

Values from the calculation:
The calculation puts the magnetization at 0.0 Bohr magnetons per cell. The density of states at the Fermi level comes out at 8.89 states/eV per cell. As for the symmetry: R-3m (166). The calculation puts the volume at 35.70 Å³ per atom. Its uncorrected energy is -4.59 eV/atom.

Unit cell a=5.558 b=5.558 c=9.875 alpha=73.65 beta=73.65 gamma=60.00
Fractional positions:
Nd 0.127 0.127 0.618
Nd 0.723 0.723 0.830
Nd 0.873 0.873 0.382
Nd 0.277 0.277 0.170
Pb 0.609 0.609 0.174
Pb 0.391 0.391 0.826
Er 0.500 0.500 0.500



[7]
Computed, not measured: a relaxed structure of Nd3Er2Pb4 at the GGA-PBE level of DFT.

Values from the calculation:
The calculation puts the magnetization at 0.0 Bohr magnetons per cell. The density of states at the Fermi level comes out at 6.29 states/eV per cell. As for the symmetry: C2/m (12). The calculation puts the volume at 31.39 Å³ per atom. The calculation puts the energy above the lowest structure with this stoichiometry at 24 meV/atom.

Unit cell a=5.043 b=7.159 c=10.142 alpha=121.98 beta=90.00 gamma=110.63
Fractional positions:
Nd 0.000 0.000 0.000
Nd 0.351 0.701 0.298
Nd 0.649 0.299 0.702
Pb 0.669 0.338 0.035
Pb 0.066 0.131 0.407
Pb 0.331 0.662 0.965
Pb 0.934 0.869 0.593
Er 0.353 0.705 0.675
Er 0.647 0.295 0.325



[8]
Computed, not measured: a relaxed structure of Nd3ErPb5 at the GGA-PBE level of DFT.

Values from the calculation:
The calculation puts the magnetization at 0.0 Bohr magnetons per cell. The density of states at the Fermi level comes out at 17.63 states/eV per cell. As for the symmetry: P6_3/mcm (193). The calculation puts the volume at 30.05 Å³ per atom. Its uncorrected energy is -4.63 eV/atom.

Unit cell a=6.620 b=9.713 c=9.713 alpha=120.00 beta=90.00 gamma=90.00
Fractional positions:
Nd 0.250 0.618 0.000
Nd 0.750 0.382 0.000
Nd 0.250 0.382 0.382
Nd 0.250 0.000 0.618
Nd 0.750 0.618 0.618
Nd 0.750 0.000 0.382
Pb 0.250 0.719 0.719
Pb 0.750 0.719 0.000
Pb 0.250 0.000 0.281
Pb 0.000 0.333 0.667
Pb 0.750 0.000 0.719
Pb 0.250 0.281 0.000
Pb 0.500 0.333 0.667
Pb 0.000 0.667 0.333
Pb 0.750 0.281 0.281
Pb 0.500 0.667 0.333
Er 0.500 0.000 0.000
Er 0.000 0.000 0.000



[9]
Computed, not measured: a relaxed structure of Nd5ErPb3 at the GGA-PBE level of DFT.

Values from the calculation:
The calculation puts the magnetization at 6.0 Bohr magnetons per cell. The density of states at the Fermi level comes out at 20.71 states/eV per cell. As for the symmetry: P6_3/mcm (193). The calculation puts the volume at 31.00 Å³ per atom. Its uncorrected energy is -4.80 eV/atom.

Unit cell a=6.787 b=9.744 c=9.744 alpha=120.00 beta=90.00 gamma=90.00
Fractional positions:
Pb 0.750 0.336 0.336
Pb 0.750 0.664 0.000
Pb 0.750 0.000 0.664
Pb 0.250 0.336 0.000
Pb 0.250 0.664 0.664
Pb 0.250 0.000 0.336
Nd 0.000 0.333 0.667
Nd 0.500 0.667 0.333
Nd 0.000 0.667 0.333
Nd 0.250 0.328 0.328
Nd 0.500 0.333 0.667
Nd 0.750 0.328 0.000
Nd 0.750 0.672 0.672
Nd 0.250 0.000 0.672
Nd 0.250 0.672 0.000
Nd 0.750 0.000 0.328
Er 0.500 0.000 0.000
Er 0.000 0.000 0.000



[10]
Computed, not measured: a relaxed structure of NdErPb2 at the GGA-PBE level of DFT.

Values from the calculation:
The calculation puts the magnetization at 0.0 Bohr magnetons per cell. The density of states at the Fermi level comes out at 3.59 states/eV per cell. As for the symmetry: P4/mmm (123). The calculation puts the volume at 28.97 Å³ per atom. Its uncorrected energy is -4.64 eV/atom.

Unit cell a=4.520 b=5.063 c=5.063 alpha=90.00 beta=90.00 gamma=90.00
Fractional positions:
Er 0.500 0.500 0.500
Nd 0.500 0.000 0.000
Pb 0.000 0.500 0.000
Pb 0.000 0.000 0.500



[11]
Computed, not measured: a relaxed structure of Nd5ErPb4 at the GGA-PBE level of DFT.

Values from the calculation:
The calculation puts the magnetization at 0.0 Bohr magnetons per cell. The density of states at the Fermi level comes out at 7.15 states/eV per cell. As for the symmetry: C2/m (12). The calculation puts the volume at 33.90 Å³ per atom. Its uncorrected energy is -4.69 eV/atom.

Unit cell a=5.480 b=7.349 c=11.433 alpha=129.26 beta=103.87 gamma=90.00
Fractional positions:
Nd 0.167 0.327 0.334
Nd 0.833 0.673 0.666
Nd 0.834 0.164 0.668
Nd 0.166 0.836 0.332
Nd 0.500 0.500 0.000
Pb 0.008 0.260 0.016
Pb 0.326 0.900 0.653
Pb 0.992 0.740 0.984
Pb 0.674 0.100 0.347
Er 0.500 0.000 0.000



[12]
Computed, not measured: a relaxed structure of NdErPdPb at the GGA-PBE level of DFT.

Values from the calculation:
The calculation puts the magnetization at 0.0 Bohr magnetons per cell. The density of states at the Fermi level comes out at 2.11 states/eV per cell. As for the symmetry: F-43m (216). The calculation puts the volume at 25.96 Å³ per atom. Its uncorrected energy is -5.15 eV/atom.

Unit cell a=5.276 b=5.276 c=5.276 alpha=60.00 beta=60.00 gamma=60.00
Fractional positions:
Pb 0.250 0.250 0.250
Nd 0.500 0.500 0.500
Er 0.000 0.000 0.000
Pd 0.750 0.750 0.750